No. 1
Density functional theory data (PBE) for an optimized crystal structure of CaPrCd2Au4.

Lattice parameters (Å, degrees): 5.0102 5.0102 24.7424 90.00 90.00 120.00
Space group R-3m (No. 166, hexagonal axes)
Asymmetric unit:
Ca  0.0000  0.0000  0.0000 [3 per cell]
Pr  0.0000  0.0000  0.5000 [3 per cell]
Cd  0.0000  0.0000  0.2515 [6 per cell]
Au  0.0000  0.0000  0.1213 [6 per cell]
Au  0.0000  0.0000  0.3743 [6 per cell]

Properties
Total DFT energy (no corrections) ... -3.3140 eV/atom
Volume ... 22.4 A^3/atom
Density of states at the Fermi level ... 4.0 states/eV/f.u.

No. 2
Density functional theory data (PBE) for an optimized crystal structure of Ca2Cd3PtAu12.

Lattice parameters (Å, degrees): 7.1899 7.1899 27.9430 90.00 90.00 120.00
Space group R-3m (No. 166, hexagonal axes)
Asymmetric unit:
Ca  0.0000  0.0000  0.1496 [6 per cell]
Cd  0.0000  0.5000  0.0000 [9 per cell]
Pt  0.0000  0.0000  0.5000 [3 per cell]
Au  0.0060  0.5030  0.1061 [18 per cell]
Au  0.0768  0.5384  0.6143 [18 per cell]

Properties
Total DFT energy (no corrections) ... -3.0169 eV/atom
Volume ... 23.2 A^3/atom
Density of states at the Fermi level ... 6.6 states/eV/f.u.

No. 3
Density functional theory data (PBE) for an optimized crystal structure of Ca2CdPtAu6.

Lattice parameters (Å, degrees): 10.291 10.291 10.291 90.00 90.00 90.00
Space group Fm-3m (No. 225)
Asymmetric unit:
Ca  0.250  0.250  0.250 [8 per cell]
Cd  0.000  0.000  0.000 [4 per cell]
Pt  0.000  0.000  0.500 [4 per cell]
Au  0.000  0.000  0.252 [24 per cell]

Properties
Total DFT energy (no corrections) ... -3.1020 eV/atom
Volume ... 27.2 A^3/atom
Density of states at the Fermi level ... 3.3 states/eV/f.u.

No. 4
Density functional theory data (PBE) for an optimized crystal structure of CaPuCd2Au4.

Lattice parameters (Å, degrees): 4.9936 4.9936 24.5253 90.00 90.00 120.00
Space group R-3m (No. 166, hexagonal axes)
Asymmetric unit:
Ca  0.0000  0.0000  0.0000 [3 per cell]
Pu  0.0000  0.0000  0.5000 [3 per cell]
Cd  0.0000  0.0000  0.2505 [6 per cell]
Au  0.0000  0.0000  0.1241 [6 per cell]
Au  0.0000  0.0000  0.3753 [6 per cell]

Properties
Total DFT energy (no corrections) ... -4.3815 eV/atom
Volume ... 22.1 A^3/atom
Density of states at the Fermi level ... 16.1 states/eV/f.u.

No. 5
Density functional theory data (PBE) for an optimized crystal structure of CaPu2CdAu4.

Lattice parameters (Å, degrees): 5.0890 5.0890 25.0736 90.00 90.00 120.00
Space group R-3m (No. 166, hexagonal axes)
Asymmetric unit:
Ca  0.0000  0.0000  0.0000 [3 per cell]
Pu  0.0000  0.0000  0.2441 [6 per cell]
Cd  0.0000  0.0000  0.5000 [3 per cell]
Au  0.0000  0.0000  0.1217 [6 per cell]
Au  0.0000  0.0000  0.3715 [6 per cell]

Properties
Total DFT energy (no corrections) ... -6.0483 eV/atom
Volume ... 23.4 A^3/atom
Density of states at the Fermi level ... 29.9 states/eV/f.u.

No. 6
Density functional theory data (PBE) for an optimized crystal structure of RbCaCd2Au.

Lattice parameters (Å, degrees): 5.515 5.515 5.631 90.00 90.00 90.00
Space group P4/mmm (No. 123)
Asymmetric unit:
Rb  0.000  0.000  0.000 [1 per cell]
Ca  0.500  0.500  0.000 [1 per cell]
Cd  0.000  0.500  0.500 [2 per cell]
Au  0.500  0.500  0.500 [1 per cell]

Properties
Total DFT energy (no corrections) ... -1.7685 eV/atom
Volume ... 34.3 A^3/atom
Density of states at the Fermi level ... 3.5 states/eV/f.u.